Entry from Alexandria: CuBiSe3 at its PBEsol-relaxed geometry (SCAN).

## Properties
formation energy without anion corrections	0.23	eV per atom
crystal system	cubic
energy above the most stable polymorph in this dataset	0	meV/atom
density of states at the Fermi level	3.00	states/eV per cell

```
CuBiSe3
1.0
4.7455 0.0000 0.0000
0.0000 4.7455 0.0000
0.0000 0.0000 4.7455
Cu Bi Se
1 1 3
direct
0.0000 0.0000 0.0000
0.5000 0.5000 0.5000
0.0000 0.0000 0.5000
0.0000 0.5000 0.0000
0.5000 0.0000 0.0000
```

***

Entry from Alexandria: CuBi3Se at its PBEsol-relaxed geometry (SCAN).

## Properties
formation energy without anion corrections	0.54	eV per atom
crystal system	cubic
density of states at the Fermi level	5.70	states/eV per cell

```
CuBi3Se
1.0
5.1514 0.0000 0.0000
0.0000 5.1514 0.0000
0.0000 0.0000 5.1514
Cu Bi Se
1 3 1
direct
0.0000 0.0000 0.0000
0.0000 0.0000 0.5000
0.0000 0.5000 0.0000
0.5000 0.0000 0.0000
0.5000 0.5000 0.5000
```

***

Entry from Alexandria: CuBiSe2 at its PBEsol-relaxed geometry (SCAN).

## Properties
formation energy without anion corrections	-0.09	eV per atom
crystal system	trigonal

```
CuBiSe2
1.0
2.1595 1.2468 7.4958
-2.1595 1.2468 7.4958
0.0000 -2.4936 7.4958
Cu Bi Se
1 1 2
direct
0.0000 0.0000 0.0000
0.5000 0.5000 0.5000
0.0987 0.0987 0.0987
0.9013 0.9013 0.9013
```

***

Entry from Alexandria: Cu6BiSe6 at its PBEsol-relaxed geometry (SCAN).

## Properties
formation energy without anion corrections	-0.17	eV per atom
crystal system	orthorhombic
density of states at the Fermi level	19.71	states/eV per cell

```
Cu6BiSe6
1.0
9.4477 0.0000 0.0000
0.0000 3.9429 0.0000
0.0000 0.0000 26.7320
Cu Bi Se
24 4 24
direct
0.0320 0.2500 0.1148
0.0733 0.2500 0.0221
0.0828 0.2500 0.4951
0.1581 0.2500 0.2606
0.1862 0.2500 0.7862
0.2190 0.7500 0.4482
0.2810 0.2500 0.9482
0.3138 0.7500 0.2862
0.3419 0.7500 0.7606
0.4172 0.7500 0.9951
0.4267 0.7500 0.5221
0.4680 0.7500 0.6148
0.5320 0.2500 0.3852
0.5733 0.2500 0.4779
0.5828 0.2500 0.0049
0.6581 0.2500 0.2394
0.6862 0.2500 0.7138
0.7190 0.7500 0.0518
0.7810 0.2500 0.5518
0.8138 0.7500 0.2138
0.8419 0.7500 0.7394
0.9172 0.7500 0.5049
0.9267 0.7500 0.9779
0.9680 0.7500 0.8852
0.0999 0.2500 0.6370
0.4001 0.7500 0.1370
0.5999 0.2500 0.8630
0.9001 0.7500 0.3630
0.0168 0.7500 0.2680
0.0264 0.2500 0.9341
0.1364 0.2500 0.4015
0.1679 0.7500 0.5381
0.1773 0.7500 0.8335
0.2159 0.2500 0.1732
0.2841 0.7500 0.6732
0.3227 0.2500 0.3335
0.3321 0.2500 0.0381
0.3636 0.7500 0.9015
0.4736 0.7500 0.4341
0.4832 0.2500 0.7680
0.5168 0.7500 0.2320
0.5264 0.2500 0.5659
0.6364 0.2500 0.0985
0.6679 0.7500 0.9619
0.6773 0.7500 0.6665
0.7159 0.2500 0.3268
0.7841 0.7500 0.8268
0.8227 0.2500 0.1665
0.8321 0.2500 0.4619
0.8636 0.7500 0.5985
0.9736 0.7500 0.0659
0.9832 0.2500 0.7320
```

***

Entry from Alexandria: CuBiSe2 at its PBEsol-relaxed geometry (SCAN).

## Properties
formation energy without anion corrections	-0.01	eV per atom
crystal system	trigonal
density of states at the Fermi level	2.84	states/eV per cell

```
CuBiSe2
1.0
1.7686 1.0211 8.4868
-1.7686 1.0211 8.4868
0.0000 -2.0422 8.4868
Cu Bi Se
1 1 2
direct
0.0000 0.0000 0.0000
0.5000 0.5000 0.5000
0.3865 0.3865 0.3865
0.6135 0.6135 0.6135
```

***

Entry from Alexandria: TaCuBi3 at its PBEsol-relaxed geometry (SCAN).

## Properties
E_form	4.76	eV per formula unit
crystal system	cubic
density of states at the Fermi level	2.38	states/eV per cell

```
TaCuBi3
1.0
5.3894 0.0000 0.0000
0.0000 5.3894 0.0000
0.0000 0.0000 5.3894
Ta Cu Bi
1 1 3
direct
0.0000 0.0000 0.0000
0.5000 0.5000 0.5000
0.0000 0.0000 0.5000
0.0000 0.5000 0.0000
0.5000 0.0000 0.0000
```

***

Entry from Alexandria: Ta2TiCuBi at its PBEsol-relaxed geometry (SCAN).

## Properties
E_form	11.50	eV per formula unit
crystal system	tetragonal
density of states at the Fermi level	4.71	states/eV per cell

```
Ta2TiCuBi
1.0
5.0934 0.0000 0.0000
0.0000 5.0934 0.0000
0.0000 0.0000 4.9400
Ta Ti Cu Bi
2 1 1 1
direct
0.0000 0.5000 0.0000
0.5000 0.0000 0.0000
0.0000 0.0000 0.5000
0.5000 0.5000 0.5000
0.0000 0.0000 0.0000
```

***

Entry from Alexandria: CuTcBi3 at its PBEsol-relaxed geometry (SCAN).

## Properties
E_form	5.50	eV per formula unit
crystal system	cubic
density of states at the Fermi level	3.68	states/eV per cell

```
CuTcBi3
1.0
5.0816 0.0000 0.0000
0.0000 5.0816 0.0000
0.0000 0.0000 5.0816
Cu Tc Bi
1 1 3
direct
0.0000 0.0000 0.0000
0.5000 0.5000 0.5000
0.0000 0.0000 0.5000
0.0000 0.5000 0.0000
0.5000 0.0000 0.0000
```